{
  "formula": "NdYFe10",
  "functional": "PBE",
  "state": "optimized geometry",
  "cell": [[3.945, 0.000, 0.000], [0.000, 5.070, 0.000], [0.000, 0.000, 8.756]],
  "species": ["Nd", "Y", "Fe", "Fe", "Fe", "Fe", "Fe", "Fe", "Fe", "Fe", "Fe", "Fe"],
  "fractional_positions": [[0.000, 0.000, 0.000], [0.000, 0.500, 0.500], [0.000, 0.000, 0.336], [0.000, 0.000, 0.664], [0.000, 0.500, 0.170], [0.000, 0.500, 0.830], [0.500, 0.000, 0.500], [0.500, 0.252, 0.254], [0.500, 0.252, 0.746], [0.500, 0.500, 0.000], [0.500, 0.748, 0.254], [0.500, 0.748, 0.746]],
  "rho_g_cm3": 7.506,
  "magnetic_moment_mub_per_fu": 20.16,
  "ef_ev_per_fu": -0.02
}

{
  "formula": "Sr4TlP",
  "functional": "PBE",
  "state": "optimized geometry",
  "cell": [[0.000, 4.902, 4.902], [4.902, 0.000, 4.902], [4.902, 4.902, 0.000]],
  "species": ["Sr", "Sr", "Sr", "Sr", "Tl", "P"],
  "fractional_positions": [[0.376, 0.376, 0.376], [0.376, 0.376, 0.873], [0.376, 0.873, 0.376], [0.873, 0.376, 0.376], [0.000, 0.000, 0.000], [0.750, 0.750, 0.750]],
  "rho_g_cm3": 4.130,
  "magnetic_moment_mub_per_fu": 0.00,
  "e_above_lowest_polymorph_mev_per_atom": 989.0,
  "ef_ev_per_fu": 2.69
}

{
  "formula": "Ac2Si4Ni3Pt",
  "functional": "PBE",
  "state": "optimized geometry",
  "cell": [[4.201, 0.000, 0.000], [0.000, 4.201, 0.000], [0.000, 0.000, 10.083]],
  "species": ["Ac", "Ac", "Si", "Si", "Si", "Si", "Ni", "Ni", "Ni", "Pt"],
  "fractional_positions": [[0.000, 0.500, 0.243], [0.500, 0.000, 0.757], [0.000, 0.000, 0.000], [0.000, 0.500, 0.628], [0.500, 0.000, 0.372], [0.500, 0.500, 0.000], [0.000, 0.500, 0.884], [0.500, 0.000, 0.116], [0.500, 0.500, 0.500], [0.000, 0.000, 0.500]],
  "rho_g_cm3": 8.750,
  "magnetic_moment_mub_per_fu": 0.00,
  "formation_energy_uncorrected_ev_per_atom": -0.75
}

Here are the calculated raw total energy numbers, same order: -7.990 -1.968 -6.084 (eV/atom).